Material: La2ZrCo
Method: DFT, PBEsol
State: relaxed Values from VASP.

Structure (Quantum ESPRESSO input):
```
&SYSTEM
  ibrav = 0, nat = 4, ntyp = 3
/
ATOMIC_SPECIES
Co 58.93 Co.upf
La 138.91 La.upf
Zr 91.22 Zr.upf
ATOMIC_POSITIONS angstrom
Co -2.1613 1.6889 5.4282
La 0.0000 0.0000 0.0000
La -3.2419 2.5333 8.1423
Zr -1.0806 0.8444 2.7141
CELL_PARAMETERS angstrom
-2.7364 3.3760 2.4029
-2.8247 -1.3747 3.8458
1.2385 1.3765 4.6076
```

Calculated values
DOS(E_F): 7.12 states/eV per cell
Uncorrected energy: -26.166 eV for the cell shown
Energy above the lowest structure with this stoichiometry: 272 meV per atom
DFT formation energy: 0.338 eV/atom
Space-group type: F-43m (216)

Material: Ag2Cl
Method: DFT, PBEsol
State: relaxed Values from VASP.

Structure (Quantum ESPRESSO input):
```
&SYSTEM
  ibrav = 0, nat = 6, ntyp = 2
/
ATOMIC_SPECIES
Ag 107.87 Ag.upf
Cl 35.45 Cl.upf
ATOMIC_POSITIONS angstrom
Ag 0.0000 1.8641 7.0823
Ag 1.6144 0.9321 1.0298
Ag 1.6144 0.9321 5.0227
Ag 0.0000 1.8641 11.0753
Cl 0.0000 0.0000 9.0788
Cl 0.0000 0.0000 3.0263
CELL_PARAMETERS angstrom
3.2288 0.0000 0.0000
-1.6144 2.7962 0.0000
0.0000 0.0000 12.1051
```

Calculated values
DOS(E_F): 1.01 states/eV per cell
Uncorrected energy: -17.852 eV for the cell shown
Energy above the lowest structure with this stoichiometry: 97 meV per atom
Energy relative to the elements, uncorrected: -0.099 eV/atom
Space-group type: P6_3/mmc (194)

Material: Cd4Te3Se
Method: DFT, PBEsol
State: relaxed Values from VASP.

Structure (Quantum ESPRESSO input):
```
&SYSTEM
  ibrav = 0, nat = 8, ntyp = 3
/
ATOMIC_SPECIES
Te 127.60 Te.upf
Se 78.96 Se.upf
Cd 112.41 Cd.upf
ATOMIC_POSITIONS angstrom
Te 2.2576 1.3034 6.3352
Te 4.5153 2.6069 10.1246
Te 6.7729 3.9103 13.9149
Se 6.7729 3.9103 2.7967
Cd 6.7729 3.9103 0.1594
Cd 2.2576 1.3034 3.5223
Cd 4.5153 2.6069 7.3253
Cd 6.7729 3.9103 11.1165
CELL_PARAMETERS angstrom
4.5153 0.0000 0.0000
2.2576 3.9103 0.0000
2.2576 1.3034 14.7453
```

Calculated values
DOS(E_F): 0.06 states/eV per cell
Uncorrected energy: -22.548 eV for the cell shown
Energy above the lowest structure with this stoichiometry: 5 meV per atom
Energy relative to the elements, uncorrected: -0.416 eV/atom
Space-group type: R3m (160)

Material: MgAlZn3
Method: DFT, PBEsol
State: relaxed Values from VASP.

Structure (Quantum ESPRESSO input):
```
&SYSTEM
  ibrav = 0, nat = 5, ntyp = 3
/
ATOMIC_SPECIES
Mg 24.30 Mg.upf
Zn 65.41 Zn.upf
Al 26.98 Al.upf
ATOMIC_POSITIONS angstrom
Mg 0.0000 0.0000 0.0000
Zn 0.0000 2.4315 0.0000
Zn 0.0000 0.0000 2.4315
Zn 2.4315 0.0000 0.0000
Al 2.4315 2.4315 2.4315
CELL_PARAMETERS angstrom
4.8630 0.0000 0.0000
0.0000 4.8630 0.0000
0.0000 0.0000 4.8630
```

Calculated values
DOS(E_F): 1.81 states/eV per cell
Uncorrected energy: -6.523 eV for the cell shown
DFT formation energy: 0.806 eV/atom
Space-group type: Pm-3m (221)

Material: Be3TePd
Method: DFT, PBEsol
State: relaxed Values from VASP.

Structure (Quantum ESPRESSO input):
```
&SYSTEM
  ibrav = 0, nat = 5, ntyp = 3
/
ATOMIC_SPECIES
Be 9.01 Be.upf
Te 127.60 Te.upf
Pd 106.42 Pd.upf
ATOMIC_POSITIONS angstrom
Be -0.6302 -1.7648 -1.0622
Be -2.0007 0.2603 0.7545
Be -0.4898 1.2073 -1.7153
Te -3.1207 -0.2972 -2.0230
Pd 0.0000 0.0000 0.0000
CELL_PARAMETERS angstrom
-0.9796 2.4147 -3.4307
-1.2603 -3.5296 -2.1244
-4.0015 0.5206 1.5090
```

Calculated values
DOS(E_F): 1.97 states/eV per cell
Uncorrected energy: -19.288 eV for the cell shown
Energy relative to the elements, uncorrected: 0.439 eV/atom
Space-group type: Pm-3m (221)

Material: KLiP2O6
Method: DFT, PBEsol
State: relaxed Values from VASP.

Structure (Quantum ESPRESSO input):
```
&SYSTEM
  ibrav = 0, nat = 80, ntyp = 4
/
ATOMIC_SPECIES
K 39.10 K.upf
Li 6.94 Li.upf
O 16.00 O.upf
P 30.97 P.upf
ATOMIC_POSITIONS angstrom
K -13.4614 1.1526 -1.2675
K -8.0973 -5.5676 6.4130
K -4.2818 -0.2535 4.3066
K -9.6459 6.4666 -3.3739
K -9.9388 -1.4599 7.1843
K -10.6411 2.5093 2.0589
K -7.8043 2.3589 -4.1452
K -7.1021 -1.6103 0.9802
Li -7.4176 -0.4737 4.2704
Li -13.3302 0.5857 4.2698
Li -10.3256 1.3727 -1.2313
Li -4.4129 0.3133 -1.2307
Li -13.1336 -4.7741 2.2042
Li -9.1586 -3.7361 -0.1295
Li -4.6096 5.6732 0.8349
Li -8.5846 4.6351 3.1686
O -9.9347 -0.8173 2.2747
O -11.3278 -1.9445 4.1106
O -7.8084 1.7163 0.7644
O -6.4153 2.8435 -1.0715
O -11.9766 -1.8136 1.3187
O -9.7530 -3.5560 3.1110
O -5.7665 2.7127 1.7205
O -7.9902 4.4550 -0.0719
O -14.1818 -0.8496 0.5574
O -7.5482 -4.5223 3.8707
O -3.5613 1.7486 2.4817
O -10.1950 5.4213 -0.8316
O -15.0678 1.2768 1.0553
O -6.1362 -3.7121 5.5748
O -2.6753 -0.3778 1.9838
O -11.6069 4.6111 -2.5357
O -9.2856 -0.5412 4.6584
O -11.4872 0.5138 3.7774
O -8.4575 1.4402 -1.6193
O -6.2560 0.3852 -0.7382
O -11.0480 0.3256 0.2798
O -10.3387 -3.7803 5.5858
O -6.6952 0.5735 2.7593
O -7.4045 4.6793 -2.5467
O -5.6253 5.1756 -0.7443
O -7.9876 2.7949 2.9947
O -12.1178 -4.2765 3.7834
O -9.7556 -1.8958 0.0444
O -13.9918 -3.2601 1.3374
O -8.1407 -4.3590 1.4054
O -3.7513 4.1591 1.7017
O -9.6024 5.2581 1.6337
O -6.4604 0.0738 5.8499
O -13.8597 2.4258 4.4807
O -11.2827 0.8252 -2.8108
O -3.8834 -1.5268 -1.4416
O -14.5490 -0.2669 3.0275
O -6.6487 -2.1331 3.6291
O -3.1941 1.1660 0.0116
O -11.0944 3.0321 -0.5900
O -10.0162 1.7298 8.2774
O -9.6661 4.3316 4.7242
O -7.7270 -0.8308 -5.2383
O -8.0771 -3.4325 -1.6851
O -10.6376 -4.7625 -0.7165
O -12.0435 -5.9196 1.1625
O -7.1055 5.6615 3.7556
O -5.6996 6.8186 1.8766
P -10.4914 -0.6000 3.7782
P -7.2517 1.4990 -0.7391
P -10.6606 -1.0098 0.8361
P -10.9167 -3.5098 4.2311
P -7.0825 1.9088 2.2030
P -6.8264 4.4088 -1.1920
P -13.3111 -2.2092 0.5101
P -8.6973 -4.7170 2.7523
P -4.4320 3.1083 2.5290
P -9.0458 5.6160 0.2868
P -15.1760 -0.2159 1.6701
P -6.2642 -3.5378 3.9714
P -2.5671 1.1149 1.3690
P -11.4790 4.4368 -0.9323
P -11.4414 -5.9041 -0.1992
P -6.3017 6.8031 3.2383
CELL_PARAMETERS angstrom
-4.5692 8.4817 1.4514
-6.5355 -2.4964 -6.7808
-6.6384 -5.0863 8.3685
```

Calculated values
DOS(E_F): 0.00 states/eV per cell
Uncorrected energy: -553.352 eV for the cell shown
Energy relative to the elements, uncorrected: -2.299 eV/atom
Space-group type: C2/c (15)

Q: What is the formula in the sixth record?
A: KLiP2O6